<P>
Computed, not measured: a relaxed BaY2O4 crystal at the PBE level of DFT.

The structure belongs to space group Cmcm (No. 63); the cell edges are 3.466, 11.425 and 11.518 Å and the angles 90.00°, 90.00° and 90.00°. The inequivalent atoms are Ba at (0.000, 0.112, 0.250), Y at (0.000, 0.366, 0.071), O at (0.000, 0.000, 0.000), O at (0.000, 0.261, 0.602) and O at (0.000, 0.439, 0.250).

***

<Q>
Computed, not measured: a relaxed BaY2O4 crystal at the PBE level of DFT.

The structure belongs to space group Pnma (No. 62); the cell edges are 10.518, 3.490 and 12.242 Å and the angles 90.00°, 90.00° and 90.00°. The inequivalent atoms are Ba at (0.247, 0.250, 0.149), Y at (0.074, 0.250, 0.389), Y at (0.078, 0.250, 0.891), O at (0.019, 0.750, 0.783), O at (0.071, 0.250, 0.574), O at (0.116, 0.750, 0.018) and O at (0.209, 0.750, 0.341).

***

Which of them is most stable? Easy: <Q>.

***

<P>
Computed, not measured: a relaxed Ba3YO crystal at the PBE level of DFT.

The structure belongs to space group Pm-3m (No. 221); the cell edges are 6.280, 6.280 and 6.280 Å and the angles 90.00°, 90.00° and 90.00°. The inequivalent atoms are Ba at (0.000, 0.000, 0.500), Y at (0.000, 0.000, 0.000) and O at (0.500, 0.500, 0.500).

***

<Q>
Computed, not measured: a relaxed Ba3YO crystal at the PBE level of DFT.

The structure belongs to space group Pm-3m (No. 221); the cell edges are 5.696, 5.696 and 5.696 Å and the angles 90.00°, 90.00° and 90.00°. The inequivalent atoms are Ba at (0.000, 0.000, 0.500), Y at (0.500, 0.500, 0.500) and O at (0.000, 0.000, 0.000).

***

Which of them is most stable? Easy: <Q>.

***

<P>
Computed, not measured: a relaxed Ba2ZnO crystal at the PBE level of DFT.

The structure belongs to space group Fm-3m (No. 225); the cell edges are 7.617, 7.617 and 7.617 Å and the angles 90.00°, 90.00° and 90.00°. The inequivalent atoms are Ba at (0.250, 0.250, 0.250), Zn at (0.000, 0.000, 0.000) and O at (0.000, 0.000, 0.500).

***

<Q>
Computed, not measured: a relaxed Ba2ZnO crystal at the PBE level of DFT.

The structure belongs to space group R-3m (No. 166, hexagonal axes); the cell edges are 3.9191, 3.9191 and 29.7878 Å and the angles 90.00°, 90.00° and 120.00°. The inequivalent atoms are Ba at (0.0000, 0.0000, 0.1151), Zn at (0.0000, 0.0000, 0.0000) and O at (0.0000, 0.0000, 0.5000).

***

<R>
Computed, not measured: a relaxed Ba2ZnO crystal at the PBE level of DFT.

The structure belongs to space group I-42d (No. 122); the cell edges are 7.623, 7.623 and 9.647 Å and the angles 90.00°, 90.00° and 90.00°. The inequivalent atoms are Ba at (0.158, 0.250, 0.125), Zn at (0.000, 0.000, 0.500) and O at (0.000, 0.000, 0.000).

***

Which of them is most stable? Easy: <R>.

***

<P>
Computed, not measured: a relaxed BaZn2O3 crystal at the PBE level of DFT.

The structure belongs to space group Cmcm (No. 63); the cell edges are 7.660, 10.720 and 4.954 Å and the angles 90.00°, 90.00° and 90.00°. The inequivalent atoms are Ba at (0.000, 0.221, 0.250), Zn at (0.181, 0.500, 0.000), O at (0.000, 0.408, 0.750) and O at (0.224, 0.122, 0.750).

***

<Q>
Computed, not measured: a relaxed BaZn2O3 crystal at the PBE level of DFT.

The structure belongs to space group Immm (No. 71); the cell edges are 3.585, 4.371 and 10.664 Å and the angles 90.00°, 90.00° and 90.00°. The inequivalent atoms are Ba at (0.000, 0.000, 0.000), Zn at (0.000, 0.000, 0.311), O at (0.000, 0.000, 0.500) and O at (0.000, 0.500, 0.286).

***

Which of them is most stable? Easy: <Q>.